Entry 1:
Computed, not measured: a geometry-optimized Na2ZnBr structure at the PBEsol level of DFT. Values from VASP.

```
&SYSTEM
  ibrav = 0, nat = 8, ntyp = 3
/
ATOMIC_SPECIES
Na 22.99 Na.upf
Zn 65.41 Zn.upf
Br 79.90 Br.upf
ATOMIC_POSITIONS crystal
Na 0.1016 0.1250 0.4766
Na 0.3750 0.8984 0.0234
Na 0.6484 0.6250 0.5234
Na 0.8750 0.3516 0.9766
Zn 0.2500 0.7500 0.5000
Zn 0.5000 0.5000 0.0000
Br 0.0000 0.0000 0.0000
Br 0.7500 0.2500 0.5000
CELL_PARAMETERS angstrom
-3.9634 3.9634 3.6301
3.9634 -3.9634 3.6301
3.9634 3.9634 -3.6301
```

Computed properties:
Calculated density = 2.79 g/cm3
Space-group type = I-42d (122)
Calculated total energy = -1.957 eV/atom
Magnetization = 0.00 μB per atom



Entry 2:
Computed, not measured: a geometry-optimized NbBr5 structure at the PBEsol level of DFT. Values from VASP.

```
&SYSTEM
  ibrav = 0, nat = 48, ntyp = 2
/
ATOMIC_SPECIES
Nb 92.91 Nb.upf
Br 79.90 Br.upf
ATOMIC_POSITIONS crystal
Nb 0.1247 0.1392 0.0057
Nb 0.1247 0.3608 0.0057
Nb 0.3753 0.6392 0.5057
Nb 0.3753 0.8608 0.5057
Nb 0.6247 0.1392 0.4943
Nb 0.6247 0.3608 0.4943
Nb 0.8753 0.6392 0.9943
Nb 0.8753 0.8608 0.9943
Br 0.0297 0.6522 0.2309
Br 0.0297 0.8478 0.2309
Br 0.0401 0.0582 0.2591
Br 0.0401 0.4418 0.2591
Br 0.0464 0.2500 0.2363
Br 0.2031 0.2500 0.7751
Br 0.2095 0.0580 0.7529
Br 0.2095 0.4420 0.7529
Br 0.2207 0.6523 0.7417
Br 0.2207 0.8477 0.7417
Br 0.2793 0.1523 0.2417
Br 0.2793 0.3477 0.2417
Br 0.2905 0.5580 0.2529
Br 0.2905 0.9420 0.2529
Br 0.2969 0.7500 0.2751
Br 0.4536 0.7500 0.7363
Br 0.4599 0.5582 0.7591
Br 0.4599 0.9418 0.7591
Br 0.4703 0.1522 0.7309
Br 0.4703 0.3478 0.7309
Br 0.5297 0.6522 0.2691
Br 0.5297 0.8478 0.2691
Br 0.5401 0.0582 0.2409
Br 0.5401 0.4418 0.2409
Br 0.5464 0.2500 0.2637
Br 0.7031 0.2500 0.7249
Br 0.7095 0.0580 0.7471
Br 0.7095 0.4420 0.7471
Br 0.7207 0.6523 0.7583
Br 0.7207 0.8477 0.7583
Br 0.7793 0.1523 0.2583
Br 0.7793 0.3477 0.2583
Br 0.7905 0.5580 0.2471
Br 0.7905 0.9420 0.2471
Br 0.7969 0.7500 0.2249
Br 0.9536 0.7500 0.7637
Br 0.9599 0.5582 0.7409
Br 0.9599 0.9418 0.7409
Br 0.9703 0.1522 0.7691
Br 0.9703 0.3478 0.7691
CELL_PARAMETERS angstrom
12.9692 0.0000 0.0000
0.0000 18.6860 0.0000
0.0000 0.0000 6.0893
```

Computed properties:
Calculated density = 4.43 g/cm3
Space-group type = Pnma (62)
Calculated total energy = -4.177 eV/atom
Magnetization = 0.00 μB per atom



Entry 3:
Computed, not measured: a geometry-optimized Nb3Br8 structure at the PBEsol level of DFT. Values from VASP.

```
&SYSTEM
  ibrav = 0, nat = 22, ntyp = 2
/
ATOMIC_SPECIES
Nb 92.91 Nb.upf
Br 79.90 Br.upf
ATOMIC_POSITIONS crystal
Nb 0.1448 0.5518 0.5518
Nb 0.4482 0.4482 0.8552
Nb 0.4482 0.8552 0.4482
Nb 0.5518 0.1448 0.5518
Nb 0.5518 0.5518 0.1448
Nb 0.8552 0.4482 0.4482
Br 0.1173 0.1173 0.6268
Br 0.1173 0.6268 0.1173
Br 0.2067 0.7054 0.7054
Br 0.2150 0.2150 0.2150
Br 0.2946 0.2946 0.7933
Br 0.2946 0.7933 0.2946
Br 0.3660 0.3660 0.3660
Br 0.3732 0.8827 0.8827
Br 0.6268 0.1173 0.1173
Br 0.6340 0.6340 0.6340
Br 0.7054 0.2067 0.7054
Br 0.7054 0.7054 0.2067
Br 0.7850 0.7850 0.7850
Br 0.7933 0.2946 0.2946
Br 0.8827 0.3732 0.8827
Br 0.8827 0.8827 0.3732
CELL_PARAMETERS angstrom
3.5173 2.0307 13.0317
-3.5173 2.0307 13.0317
0.0000 -4.0615 13.0317
```

Computed properties:
Calculated density = 5.46 g/cm3
Space-group type = R-3m (166)
Calculated total energy = -5.253 eV/atom
Magnetization = 0.00 μB per atom



Entry 4:
Computed, not measured: a geometry-optimized NbBr5 structure at the PBEsol level of DFT. Values from VASP.

```
&SYSTEM
  ibrav = 0, nat = 12, ntyp = 2
/
ATOMIC_SPECIES
Nb 92.91 Nb.upf
Br 79.90 Br.upf
ATOMIC_POSITIONS crystal
Nb 0.1053 0.2199 0.2229
Nb 0.8947 0.7801 0.7771
Br 0.0794 0.8195 0.5638
Br 0.1217 0.6164 0.8524
Br 0.2441 0.1868 0.9552
Br 0.3059 0.0017 0.2463
Br 0.4531 0.5845 0.3320
Br 0.5469 0.4155 0.6680
Br 0.6941 0.9983 0.7537
Br 0.7559 0.8132 0.0448
Br 0.8783 0.3836 0.1476
Br 0.9206 0.1805 0.4362
CELL_PARAMETERS angstrom
6.5489 0.0000 0.0000
-3.1385 6.3140 0.0000
-0.1234 -3.5207 8.9421
```

Computed properties:
Calculated density = 4.42 g/cm3
Space-group type = P-1 (2)
Calculated total energy = -4.178 eV/atom
Magnetization = 0.00 μB per atom



Entry 5:
Computed, not measured: a geometry-optimized NbOsBr2 structure at the PBEsol level of DFT. Values from VASP.

```
&SYSTEM
  ibrav = 0, nat = 4, ntyp = 3
/
ATOMIC_SPECIES
Nb 92.91 Nb.upf
Os 190.23 Os.upf
Br 79.90 Br.upf
ATOMIC_POSITIONS crystal
Nb 0.0000 0.0000 0.0000
Os 0.5000 0.5000 0.5000
Br 0.4077 0.4077 0.4077
Br 0.5923 0.5923 0.5923
CELL_PARAMETERS angstrom
1.5571 0.8990 8.5965
-1.5571 0.8990 8.5965
0.0000 -1.7979 8.5965
```

Computed properties:
Calculated density = 10.19 g/cm3
Space-group type = R-3m (166)
Calculated total energy = -6.135 eV/atom
Magnetization = 0.00 μB per atom



Entry 6:
Computed, not measured: a geometry-optimized Nb2Pb2Br structure at the PBEsol level of DFT. Values from VASP.

```
&SYSTEM
  ibrav = 0, nat = 5, ntyp = 3
/
ATOMIC_SPECIES
Nb 92.91 Nb.upf
Pb 207.20 Pb.upf
Br 79.90 Br.upf
ATOMIC_POSITIONS crystal
Nb 0.0917 0.0917 0.0000
Nb 0.9083 0.9083 0.0000
Pb 0.2500 0.7500 0.5000
Pb 0.7500 0.2500 0.5000
Br 0.5000 0.5000 0.0000
CELL_PARAMETERS angstrom
-2.1669 2.1669 6.5106
2.1669 -2.1669 6.5106
2.1669 2.1669 -6.5106
```

Computed properties:
Calculated density = 9.24 g/cm3
Space-group type = I4/mmm (139)
Calculated total energy = -5.557 eV/atom
Magnetization = 0.00 μB per atom



Entry 7:
Computed, not measured: a geometry-optimized Nb2SnPbBr structure at the PBEsol level of DFT. Values from VASP.

```
&SYSTEM
  ibrav = 0, nat = 5, ntyp = 4
/
ATOMIC_SPECIES
Nb 92.91 Nb.upf
Sn 118.71 Sn.upf
Pb 207.20 Pb.upf
Br 79.90 Br.upf
ATOMIC_POSITIONS crystal
Nb 0.0000 0.5000 0.0000
Nb 0.5000 0.0000 0.0000
Sn 0.0000 0.0000 0.5000
Pb 0.5000 0.5000 0.5000
Br 0.5000 0.5000 0.0000
CELL_PARAMETERS angstrom
4.7764 0.0000 0.0000
0.0000 4.7764 0.0000
0.0000 0.0000 5.6000
```

Computed properties:
Calculated density = 7.69 g/cm3
Space-group type = P4/mmm (123)
Calculated total energy = -5.217 eV/atom
Magnetization = 0.00 μB per atom



Entry 8:
Computed, not measured: a geometry-optimized NbPtRh2Br structure at the PBEsol level of DFT. Values from VASP.

```
&SYSTEM
  ibrav = 0, nat = 5, ntyp = 4
/
ATOMIC_SPECIES
Nb 92.91 Nb.upf
Pt 195.08 Pt.upf
Rh 102.91 Rh.upf
Br 79.90 Br.upf
ATOMIC_POSITIONS crystal
Nb 0.0000 0.0000 0.0000
Pt 0.5000 0.5000 0.5000
Rh 0.0000 0.5000 0.0000
Rh 0.5000 0.0000 0.0000
Br 0.0000 0.0000 0.5000
CELL_PARAMETERS angstrom
4.6582 0.0000 0.0000
0.0000 4.6582 0.0000
0.0000 0.0000 4.7766
```

Computed properties:
Calculated density = 9.19 g/cm3
Space-group type = P4/mmm (123)
Calculated total energy = -5.914 eV/atom
Magnetization = 0.00 μB per atom



Entry 9:
Computed, not measured: a geometry-optimized NbPtSeBr2 structure at the PBEsol level of DFT. Values from VASP.

```
&SYSTEM
  ibrav = 0, nat = 5, ntyp = 4
/
ATOMIC_SPECIES
Nb 92.91 Nb.upf
Pt 195.08 Pt.upf
Se 78.96 Se.upf
Br 79.90 Br.upf
ATOMIC_POSITIONS crystal
Nb 0.0000 0.0000 0.0000
Pt 0.5000 0.5000 0.5000
Se 0.5000 0.5000 0.0000
Br 0.0000 0.5000 0.5000
Br 0.5000 0.0000 0.5000
CELL_PARAMETERS angstrom
4.9340 0.0000 0.0000
0.0000 4.9340 0.0000
0.0000 0.0000 5.0028
```

Computed properties:
Calculated density = 7.18 g/cm3
Space-group type = P4/mmm (123)
Calculated total energy = -4.363 eV/atom
Magnetization = 0.60 μB per atom



Entry 10:
Computed, not measured: a geometry-optimized RbNb2Br structure at the PBEsol level of DFT. Values from VASP.

```
&SYSTEM
  ibrav = 0, nat = 4, ntyp = 3
/
ATOMIC_SPECIES
Rb 85.47 Rb.upf
Nb 92.91 Nb.upf
Br 79.90 Br.upf
ATOMIC_POSITIONS crystal
Rb 0.0000 0.0000 0.0000
Nb 0.2500 0.2500 0.2500
Nb 0.7500 0.7500 0.7500
Br 0.5000 0.5000 0.5000
CELL_PARAMETERS angstrom
0.0000 3.4104 3.4104
3.4104 0.0000 3.4104
3.4104 3.4104 0.0000
```

Computed properties:
Calculated density = 7.35 g/cm3
Space-group type = Fm-3m (225)
Calculated total energy = -4.382 eV/atom
Magnetization = 0.00 μB per atom